1.
DFT (PBE) results for crystalline GdBe at its relaxed geometry.

Properties
Formation enthalpy at 0 K (eV per formula unit): 0.06
SG: No. 63
Relative energy among the computed polymorphs (meV/atom): 0

Cell and atoms, written as extended XYZ:
```
4
Lattice="2.375 -4.172 0.000 2.375 4.172 0.000 0.000 0.000 4.054" Properties=species:S:1:pos:R:3 pbc="T T T"
Gd 2.375 2.791 3.040
Gd 2.375 -2.791 1.013
Be 2.375 0.031 3.040
Be 2.375 -0.031 1.013
```

2.
DFT (PBE) results for crystalline BaCe2Te4 at its relaxed geometry.

Properties
E_form (uncorrected) (meV/atom): -1465
SG: No. 63

Cell and atoms, written as extended XYZ:
```
14
Lattice="2.302 -7.485 0.000 2.302 7.485 0.000 0.000 0.000 15.613" Properties=species:S:1:pos:R:3 pbc="T T T"
Ba 2.302 5.834 11.710
Ba 2.302 -5.834 3.903
Ce 2.302 2.002 8.812
Ce 2.302 2.002 14.607
Ce 2.302 -2.002 1.005
Ce 2.302 -2.002 6.801
Te 0.000 0.000 0.000
Te 0.000 0.000 7.806
Te 2.302 3.451 1.826
Te 2.302 3.451 5.980
Te 2.302 0.920 11.710
Te 2.302 -0.920 3.903
Te 2.302 -3.451 9.632
Te 2.302 -3.451 13.787
```

3.
DFT (PBE) results for crystalline LaZrCo2 at its relaxed geometry.

Properties
Formation enthalpy at 0 K (eV per formula unit): 0.93
SG: No. 122
Relative energy among the computed polymorphs (meV/atom): 343

Cell and atoms, written as extended XYZ:
```
8
Lattice="-3.524 3.524 3.074 3.524 -3.524 3.074 3.524 3.524 -3.074" Properties=species:S:1:pos:R:3 pbc="T T T"
La 0.000 0.000 0.000
La 0.000 3.524 1.537
Zr 3.524 0.000 1.537
Zr 0.000 0.000 3.074
Co 1.762 -1.675 2.305
Co 1.848 1.762 0.768
Co 1.762 5.199 -0.768
Co 1.675 1.762 3.842
```

4.
DFT (PBE) results for crystalline Y2ZnH2 at its relaxed geometry.

Properties
SG: No. 139
VASP energy (eV/cell): -23.8

Cell and atoms, written as extended XYZ:
```
5
Lattice="-1.834 1.834 6.034 1.834 -1.834 6.034 1.834 1.834 -6.034" Properties=species:S:1:pos:R:3 pbc="T T T"
Y 0.000 0.000 1.763
Y 0.000 0.000 10.304
Zn 0.000 0.000 6.034
H 1.834 0.000 3.017
H 0.000 1.834 3.017
```

5.
DFT (PBE) results for crystalline Ce2HoScTe4 at its relaxed geometry.

Properties
E_form (uncorrected) (meV/atom): -1274
SG: No. 10

Cell and atoms, written as extended XYZ:
```
8
Lattice="7.509 0.000 0.000 0.000 4.317 0.000 -2.479 0.000 7.297" Properties=species:S:1:pos:R:3 pbc="T T T"
Ce 0.000 0.000 0.000
Ce 3.754 2.159 0.000
Ho -1.239 2.159 3.649
Sc 2.515 0.000 3.649
Te 0.065 0.000 5.349
Te 1.305 2.159 1.979
Te 3.725 2.159 5.318
Te 4.966 0.000 1.948
```

6.
DFT (PBE) results for crystalline Li2DyCd9 at its relaxed geometry.

Properties
Formation enthalpy at 0 K (eV per formula unit): -2.28
SG: No. 123

Cell and atoms, written as extended XYZ:
```
12
Lattice="4.471 0.000 0.000 0.000 4.471 0.000 0.000 0.000 13.151" Properties=species:S:1:pos:R:3 pbc="T T T"
Li 0.000 0.000 2.141
Li 0.000 0.000 11.011
Dy 0.000 0.000 6.576
Cd 0.000 2.236 0.000
Cd 0.000 2.236 4.217
Cd 0.000 2.236 8.935
Cd 2.236 0.000 0.000
Cd 2.236 0.000 4.217
Cd 2.236 0.000 8.935
Cd 2.236 2.236 2.077
Cd 2.236 2.236 6.576
Cd 2.236 2.236 11.074
```

7.
DFT (PBE) results for crystalline Tl2FeCl4 at its relaxed geometry.

Properties
E_form (uncorrected) (meV/atom): -890
SG: No. 11

Cell and atoms, written as extended XYZ:
```
14
Lattice="7.175 0.000 0.000 0.000 7.232 0.000 -2.937 0.000 8.532" Properties=species:S:1:pos:R:3 pbc="T T T"
Tl 1.383 1.808 0.376
Tl 0.305 1.808 4.862
Tl 3.933 5.424 3.670
Tl 2.855 5.424 8.156
Fe -0.719 5.424 6.775
Fe 4.957 1.808 1.757
Cl -2.063 3.635 6.233
Cl -2.063 7.213 6.233
Cl 2.678 5.424 0.488
Cl 1.165 5.424 5.476
Cl 3.073 1.808 3.056
Cl 1.560 1.808 8.044
Cl 6.301 0.019 2.299
Cl 6.301 3.597 2.299
```

8.
DFT (PBE) results for crystalline Cs4TlSn3I12 at its relaxed geometry.

Properties
E_form (uncorrected) (meV/atom): -923
SG: No. 229

Cell and atoms, written as extended XYZ:
```
20
Lattice="-6.276 6.276 6.276 6.276 -6.276 6.276 6.276 6.276 -6.276" Properties=species:S:1:pos:R:3 pbc="T T T"
Cs 3.138 3.138 -3.138
Cs 3.138 -3.138 3.138
Cs -3.138 3.138 3.138
Cs 3.138 3.138 3.138
Tl 0.000 0.000 0.000
Sn 6.276 0.000 0.000
Sn 0.000 6.276 0.000
Sn 0.000 0.000 6.276
I 3.220 0.000 0.000
I 9.332 0.000 0.000
I 6.276 3.138 0.000
I 6.276 0.000 3.138
I 0.000 3.220 0.000
I 0.000 0.000 3.220
I 3.138 6.276 0.000
I 3.138 0.000 6.276
I 0.000 9.332 0.000
I 0.000 0.000 9.332
I 0.000 6.276 3.138
I 0.000 3.138 6.276
```

9.
DFT (PBE) results for crystalline Nd2Zn4AgPt3 at its relaxed geometry.

Properties
Formation enthalpy at 0 K (eV per formula unit): -6.51
SG: No. 115

Cell and atoms, written as extended XYZ:
```
10
Lattice="4.098 0.000 0.000 0.000 4.098 0.000 0.000 0.000 11.611" Properties=species:S:1:pos:R:3 pbc="T T T"
Nd 0.000 2.049 2.764
Nd 2.049 0.000 8.847
Zn 0.000 0.000 0.000
Zn 0.000 2.049 7.406
Zn 2.049 0.000 4.205
Zn 2.049 2.049 0.000
Ag 0.000 0.000 5.805
Pt 0.000 2.049 9.959
Pt 2.049 0.000 1.652
Pt 2.049 2.049 5.805
```

10.
DFT (PBE) results for crystalline Tb2Dy7Ho at its relaxed geometry.

Properties
Formation enthalpy at 0 K (eV per formula unit): 6.93
SG: No. 65
Relative energy among the computed polymorphs (meV/atom): 674

Cell and atoms, written as extended XYZ:
```
10
Lattice="4.315 -8.621 0.000 4.315 8.621 0.000 0.000 0.000 5.125" Properties=species:S:1:pos:R:3 pbc="T T T"
Tb 4.315 5.147 0.000
Tb 4.315 -5.147 0.000
Dy 0.000 0.000 0.000
Dy 2.763 1.855 0.000
Dy 4.315 3.375 2.562
Dy 2.763 -1.855 0.000
Dy 5.867 1.855 0.000
Dy 4.315 -3.375 2.562
Dy 5.867 -1.855 0.000
Ho 4.315 0.000 2.562
```

11.
DFT (PBE) results for crystalline Cd2PPd6 at its relaxed geometry.

Properties
Formation enthalpy at 0 K (eV per formula unit): -3.76
SG: No. 71
Relative energy among the computed polymorphs (meV/atom): 0

Cell and atoms, written as extended XYZ:
```
9
Lattice="-2.932 3.042 4.229 2.932 -3.042 4.229 2.932 3.042 -4.229" Properties=species:S:1:pos:R:3 pbc="T T T"
Cd 0.000 0.000 2.080
Cd 0.000 0.000 6.378
P 2.932 0.000 0.000
Pd 2.932 0.000 2.235
Pd 1.403 1.636 0.000
Pd 1.529 -1.406 4.229
Pd 1.403 4.447 0.000
Pd 1.529 1.406 4.229
Pd 0.000 3.042 1.994
```

12.
DFT (PBE) results for crystalline CdSe2BrO at its relaxed geometry.

Properties
E_form (uncorrected) (meV/atom): 995
SG: No. 123
Relative energy among the computed polymorphs (meV/atom): 875

Cell and atoms, written as extended XYZ:
```
5
Lattice="5.446 0.000 0.000 0.000 5.446 0.000 0.000 0.000 5.441" Properties=species:S:1:pos:R:3 pbc="T T T"
Cd 0.000 0.000 0.000
Se 0.000 2.723 0.000
Se 2.723 0.000 0.000
Br 0.000 0.000 2.720
O 2.723 2.723 2.720
```

Calculated DOS at the Fermi energy, 1.15, 15.12, 2.52, 1.94, 15.24, 4.82, 7.14, 2.94, 4.93, 11.73, 3.73, 9.01 states/eV/f.u. (same order as the records).